1.
First-principles (PBEsol) data for crystalline La2AlIr at its relaxed geometry, as listed in Alexandria via LeMat-Bulk.

Cell and atoms, written as POSCAR:
```
La2AlIr
1.0
3.691 0.000 0.000
0.000 3.691 0.000
0.000 0.000 7.055
La Al Ir
2 1 1
Direct
0.000 0.000 0.228
0.000 0.000 0.772
0.500 0.500 0.500
0.500 0.500 0.000
```

calculated volume: 24.03 Å³ per atom
formation energy: -1.69 eV per formula unit
space group: P4/mmm (123)
total magnetic moment: 0.00 μB/cell
ρ: 8.6 g/cm³

---

2.
First-principles (PBEsol) data for crystalline LaAlIr3 at its relaxed geometry, as listed in Alexandria via LeMat-Bulk.

Cell and atoms, written as POSCAR:
```
LaAlIr3
1.0
4.540 0.000 0.000
0.000 4.540 0.000
0.000 0.000 4.540
La Al Ir
1 1 3
Direct
0.000 0.000 0.000
0.500 0.500 0.500
0.000 0.500 0.500
0.500 0.000 0.500
0.500 0.500 0.000
```

calculated volume: 18.71 Å³ per atom
formation energy: 0.32 eV per formula unit
space group: Pm-3m (221)
total magnetic moment: 0.00 μB/cell
ρ: 13.2 g/cm³

---

3.
First-principles (PBEsol) data for crystalline LaAl2Ir at its relaxed geometry, as listed in Alexandria via LeMat-Bulk.

Cell and atoms, written as POSCAR:
```
LaAl2Ir
1.0
2.114 1.220 5.398
-2.114 1.220 5.398
0.000 -2.441 5.398
La Al Ir
1 2 1
Direct
0.000 0.000 0.000
0.205 0.205 0.205
0.795 0.795 0.795
0.500 0.500 0.500
```

calculated volume: 20.89 Å³ per atom
formation energy: -2.71 eV per formula unit
space group: R-3m (166)
total magnetic moment: 0.00 μB/cell
ρ: 7.7 g/cm³

---

4.
First-principles (PBEsol) data for crystalline La2AlIr at its relaxed geometry, as listed in Alexandria via LeMat-Bulk.

Cell and atoms, written as POSCAR:
```
La2AlIr
1.0
2.257 1.303 5.358
-2.257 1.303 5.358
0.000 -2.606 5.358
La Al Ir
2 1 1
Direct
0.000 0.000 0.000
0.208 0.208 0.208
0.771 0.771 0.771
0.429 0.429 0.429
```

calculated volume: 23.64 Å³ per atom
formation energy: -2.19 eV per formula unit
space group: R3m (160)
total magnetic moment: 0.00 μB/cell
ρ: 8.7 g/cm³

---

5.
First-principles (PBEsol) data for crystalline La2AlIr at its relaxed geometry, as listed in Alexandria via LeMat-Bulk.

Cell and atoms, written as POSCAR:
```
La2AlIr
1.0
4.512 0.000 0.000
0.000 3.899 0.000
-2.263 0.000 5.713
La Al Ir
2 1 1
Direct
0.000 0.000 0.000
0.289 0.500 0.577
0.595 0.500 0.189
0.738 0.000 0.475
```

calculated volume: 25.12 Å³ per atom
formation energy: -2.10 eV per formula unit
space group: Pm (6)
total magnetic moment: 0.00 μB/cell
ρ: 8.2 g/cm³

---

6.
First-principles (PBEsol) data for crystalline Li3AlIr at its relaxed geometry, as listed in Alexandria via LeMat-Bulk.

Cell and atoms, written as POSCAR:
```
Li3AlIr
1.0
4.545 0.000 0.000
0.000 4.545 0.000
0.000 0.000 4.545
Li Al Ir
3 1 1
Direct
0.000 0.000 0.500
0.000 0.500 0.000
0.500 0.000 0.000
0.500 0.500 0.500
0.000 0.000 0.000
```

calculated volume: 18.78 Å³ per atom
formation energy: 3.05 eV per formula unit
space group: Pm-3m (221)
total magnetic moment: 0.00 μB/cell
ρ: 4.2 g/cm³

---

7.
First-principles (PBEsol) data for crystalline LiAl2Ir2 at its relaxed geometry, as listed in Alexandria via LeMat-Bulk.

Cell and atoms, written as POSCAR:
```
LiAl2Ir2
1.0
7.146 0.000 0.000
0.000 7.146 0.000
0.000 0.000 2.862
Li Al Ir
2 4 4
Direct
0.000 0.000 0.000
0.500 0.500 0.000
0.147 0.353 0.500
0.353 0.853 0.500
0.647 0.147 0.500
0.853 0.647 0.500
0.149 0.649 0.000
0.351 0.149 0.000
0.649 0.851 0.000
0.851 0.351 0.000
```

calculated volume: 14.62 Å³ per atom
formation energy: -3.30 eV per formula unit
space group: P4/mbm (127)
total magnetic moment: 0.00 μB/cell
ρ: 10.1 g/cm³

---

8.
First-principles (PBEsol) data for crystalline Li2AlIr2 at its relaxed geometry, as listed in Alexandria via LeMat-Bulk.

Cell and atoms, written as POSCAR:
```
Li2AlIr2
1.0
6.192 0.000 0.000
0.000 6.192 0.000
0.000 0.000 3.986
Li Al Ir
4 2 4
Direct
0.161 0.339 0.000
0.339 0.839 0.000
0.661 0.161 0.000
0.839 0.661 0.000
0.000 0.000 0.500
0.500 0.500 0.500
0.139 0.639 0.500
0.361 0.139 0.500
0.639 0.861 0.500
0.861 0.361 0.500
```

calculated volume: 15.28 Å³ per atom
formation energy: -0.33 eV per formula unit
space group: P4/mbm (127)
total magnetic moment: 0.07 μB/cell
ρ: 9.2 g/cm³

---

9.
First-principles (PBEsol) data for crystalline LiAlIr2 at its relaxed geometry, as listed in Alexandria via LeMat-Bulk.

Cell and atoms, written as POSCAR:
```
LiAlIr2
1.0
4.711 -1.384 0.000
4.711 1.384 0.000
-1.702 0.000 4.066
Li Al Ir
1 1 2
Direct
0.000 0.000 0.000
0.230 0.230 0.587
0.486 0.486 0.500
0.752 0.752 0.095
```

calculated volume: 13.26 Å³ per atom
formation energy: -1.85 eV per formula unit
space group: Cm (8)
total magnetic moment: 0.00 μB/cell
ρ: 13.1 g/cm³

---

10.
First-principles (PBEsol) data for crystalline LiAl2TeIr at its relaxed geometry, as listed in Alexandria via LeMat-Bulk.

Cell and atoms, written as POSCAR:
```
LiAl2TeIr
1.0
5.350 0.000 0.000
0.000 5.350 0.000
0.000 0.000 4.842
Li Al Te Ir
1 2 1 1
Direct
0.000 0.000 0.000
0.000 0.500 0.500
0.500 0.000 0.500
0.500 0.500 0.500
0.500 0.500 0.000
```

calculated volume: 27.72 Å³ per atom
raw formation energy: 1.0564 eV/atom
space group: P4/mmm (123)
total magnetic moment: 0.00 μB/cell
ρ: 4.6 g/cm³

---

11.
First-principles (PBEsol) data for crystalline Lu2Al9Ir3 at its relaxed geometry, as listed in Alexandria via LeMat-Bulk.

Cell and atoms, written as POSCAR:
```
Lu2Al9Ir3
1.0
6.439 -3.755 0.000
6.439 3.755 0.000
0.000 0.000 9.317
Lu Al Ir
4 18 6
Direct
0.005 0.673 0.750
0.327 0.995 0.750
0.673 0.005 0.250
0.995 0.327 0.250
0.000 0.336 0.576
0.000 0.336 0.924
0.000 0.664 0.076
0.000 0.664 0.424
0.128 0.872 0.250
0.332 0.668 0.554
0.332 0.668 0.946
0.336 0.000 0.076
0.336 0.000 0.424
0.340 0.449 0.250
0.449 0.340 0.750
0.551 0.660 0.250
0.660 0.551 0.750
0.664 0.000 0.576
0.664 0.000 0.924
0.668 0.332 0.054
0.668 0.332 0.446
0.872 0.128 0.750
0.000 0.000 0.000
0.000 0.000 0.500
0.328 0.328 0.000
0.328 0.328 0.500
0.672 0.672 0.000
0.672 0.672 0.500
```

calculated volume: 16.09 Å³ per atom
formation energy: -11.71 eV per formula unit
space group: Cmcm (63)
total magnetic moment: 0.00 μB/cell
ρ: 8.6 g/cm³

---

12.
First-principles (PBEsol) data for crystalline MgAl2Ir at its relaxed geometry, as listed in Alexandria via LeMat-Bulk.

Cell and atoms, written as POSCAR:
```
MgAl2Ir
1.0
-2.099 2.099 3.335
2.099 -2.099 3.335
2.099 2.099 -3.335
Mg Al Ir
1 2 1
Direct
0.000 0.000 0.000
0.250 0.750 0.500
0.750 0.250 0.500
0.500 0.500 0.000
```

calculated volume: 14.69 Å³ per atom
formation energy: -1.96 eV per formula unit
space group: I4/mmm (139)
total magnetic moment: 0.00 μB/cell
ρ: 7.6 g/cm³

---

13.
First-principles (PBEsol) data for crystalline Mg2AlIr at its relaxed geometry, as listed in Alexandria via LeMat-Bulk.

Cell and atoms, written as POSCAR:
```
Mg2AlIr
1.0
3.036 0.000 0.000
0.000 4.251 0.000
-1.505 0.000 5.255
Mg Al Ir
2 1 1
Direct
0.000 0.000 0.000
0.336 0.500 0.674
0.615 0.500 0.231
0.729 0.000 0.461
```

calculated volume: 16.95 Å³ per atom
formation energy: -1.13 eV per formula unit
space group: Pm (6)
total magnetic moment: 0.00 μB/cell
ρ: 6.6 g/cm³

---

14.
First-principles (PBEsol) data for crystalline MgAlIr2 at its relaxed geometry, as listed in Alexandria via LeMat-Bulk.

Cell and atoms, written as POSCAR:
```
MgAlIr2
1.0
1.425 0.823 8.302
-1.425 0.823 8.302
0.000 -1.645 8.302
Mg Al Ir
1 1 2
Direct
0.000 0.000 0.000
0.500 0.500 0.500
0.245 0.245 0.245
0.755 0.755 0.755
```

calculated volume: 14.60 Å³ per atom
formation energy: -1.60 eV per formula unit
space group: R-3m (166)
total magnetic moment: 0.00 μB/cell
ρ: 12.4 g/cm³

---

15.
First-principles (PBEsol) data for crystalline MgAlIr2 at its relaxed geometry, as listed in Alexandria via LeMat-Bulk.

Cell and atoms, written as POSCAR:
```
MgAlIr2
1.0
0.000 3.026 3.026
3.026 0.000 3.026
3.026 3.026 0.000
Mg Al Ir
1 1 2
Direct
0.000 0.000 0.000
0.500 0.500 0.500
0.250 0.250 0.250
0.750 0.750 0.750
```

calculated volume: 13.85 Å³ per atom
formation energy: -2.61 eV per formula unit
space group: Fm-3m (225)
total magnetic moment: 0.00 μB/cell
ρ: 13.1 g/cm³

---

16.
First-principles (PBEsol) data for crystalline MgAl2IrRu at its relaxed geometry, as listed in Alexandria via LeMat-Bulk.

Cell and atoms, written as POSCAR:
```
MgAl2IrRu
1.0
4.558 0.000 0.000
0.000 4.558 0.000
0.000 0.000 4.723
Mg Al Ir Ru
1 2 1 1
Direct
0.000 0.000 0.000
0.000 0.500 0.500
0.500 0.000 0.500
0.000 0.000 0.500
0.500 0.500 0.000
```

calculated volume: 19.63 Å³ per atom
formation energy: 2.98 eV per formula unit
space group: P4/mmm (123)
total magnetic moment: 0.80 μB/cell
ρ: 6.3 g/cm³

---

17.
First-principles (PBEsol) data for crystalline MgAlSiIr2 at its relaxed geometry, as listed in Alexandria via LeMat-Bulk.

Cell and atoms, written as POSCAR:
```
MgAlSiIr2
1.0
4.413 0.000 0.000
0.000 4.413 0.000
0.000 0.000 4.612
Mg Al Si Ir
1 1 1 2
Direct
0.000 0.000 0.000
0.500 0.500 0.000
0.000 0.000 0.500
0.000 0.500 0.500
0.500 0.000 0.500
```

calculated volume: 17.97 Å³ per atom
raw formation energy: 0.4973 eV/atom
space group: P4/mmm (123)
total magnetic moment: 0.00 μB/cell
ρ: 8.6 g/cm³

---

18.
First-principles (PBEsol) data for crystalline MgTaAl2Ir at its relaxed geometry, as listed in Alexandria via LeMat-Bulk.

Cell and atoms, written as POSCAR:
```
MgTaAl2Ir
1.0
4.653 0.000 0.000
0.000 4.653 0.000
0.000 0.000 4.979
Mg Ta Al Ir
1 1 2 1
Direct
0.000 0.000 0.000
0.500 0.500 0.000
0.000 0.500 0.500
0.500 0.000 0.500
0.500 0.500 0.500
```

calculated volume: 21.56 Å³ per atom
formation energy: 1.65 eV per formula unit
space group: P4/mmm (123)
total magnetic moment: 0.00 μB/cell
ρ: 7.0 g/cm³

---

19.
First-principles (PBEsol) data for crystalline MnAl2Ir at its relaxed geometry, as listed in Alexandria via LeMat-Bulk.

Cell and atoms, written as POSCAR:
```
MnAl2Ir
1.0
-1.448 2.078 4.412
1.448 -2.078 4.412
1.448 2.078 -4.412
Mn Al Ir
1 2 1
Direct
0.000 0.000 0.000
0.237 0.737 0.500
0.510 0.510 0.000
0.754 0.254 0.500
```

calculated volume: 13.27 Å³ per atom
formation energy: -1.64 eV per formula unit
space group: Imm2 (44)
total magnetic moment: 2.00 μB/cell
ρ: 9.4 g/cm³

---

20.
First-principles (PBEsol) data for crystalline Mn2AlIr at its relaxed geometry, as listed in Alexandria via LeMat-Bulk.

Cell and atoms, written as POSCAR:
```
Mn2AlIr
1.0
-1.811 1.811 3.804
1.811 -1.811 3.804
1.811 1.811 -3.804
Mn Al Ir
2 1 1
Direct
0.250 0.750 0.500
0.750 0.250 0.500
0.000 0.000 0.000
0.500 0.500 0.000
```

calculated volume: 12.47 Å³ per atom
formation energy: -0.82 eV per formula unit
space group: I4/mmm (139)
total magnetic moment: 3.58 μB/cell
ρ: 11.0 g/cm³